# Tb7Nd2Mg2 (PBE, optimized geometry)
# Size of the total moment: 0.0000 μB per atom
# Offset from the most stable computed form: 193 meV/atom
data_Tb7Nd2Mg2
_cell_length_a 9.1309
_cell_length_b 14.0187
_cell_length_c 5.6832
_cell_angle_alpha 90.00
_cell_angle_beta 92.66
_cell_angle_gamma 90.00
_symmetry_space_group_name_H-M 'C 1 2/m 1'
_symmetry_Int_Tables_number 12
loop_
_symmetry_equiv_pos_as_xyz
'x,y,z'
'-x,-y,-z'
'-x,y,-z'
'x,-y,z'
'x+1/2,y+1/2,z'
'-x+1/2,-y+1/2,-z'
'-x+1/2,y+1/2,-z'
'x+1/2,-y+1/2,z'
loop_
_atom_site_label
_atom_site_type_symbol
_atom_site_fract_x
_atom_site_fract_y
_atom_site_fract_z
_atom_site_occupancy
Tb1 Tb 0.0000 0.0000 0.0000 1
Tb2 Tb 0.1450 0.2081 0.2417 1
Tb3 Tb 0.1789 0.0000 0.5449 1
Nd1 Nd 0.0000 0.3876 0.5000 1
Mg1 Mg 0.1540 0.5000 0.9670 1